## K2PtPb (PBEsol)

Data for a geometry-optimized K2PtPb structure. Values from VASP.

E_tot ... -3.3914 eV/atom
Formation energy from the elements ... -0.08 eV/atom
DOS at the Fermi energy ... 2.4 states/eV per cell

```
&SYSTEM
  ibrav = 0, nat = 4, ntyp = 3
/
ATOMIC_SPECIES
Pb 207.20 Pb.upf
K 39.10 K.upf
Pt 195.08 Pt.upf
ATOMIC_POSITIONS crystal
Pb 0.458 0.916 0.375
K 0.027 0.054 0.072
K 0.224 0.449 0.675
Pt 0.791 0.581 0.378
CELL_PARAMETERS angstrom
4.733 0.000 0.000
-2.367 4.170 -0.018
0.000 -2.705 6.781
```